A geometry-optimized Mg2TaRu structure, computed with PBE.

Its crystal system is tetragonal. The calculated density is 7.9 g/cm³.

The space group is P4/mmm (No. 123) and the conventional cell measures 2.817, 2.817 and 8.781 Å, with angles of 90.00, 90.00 and 90.00 degrees. The inequivalent atoms are Mg at (0.000, 0.000, 0.229), Ta at (0.500, 0.500, 0.500) and Ru at (0.500, 0.500, 0.000).

A geometry-optimized MgTaRu structure, computed with PBE.

Its crystal system is cubic. The calculated density is 8.6 g/cm³.

The space group is F-43m (No. 216) and the conventional cell measures 6.184, 6.184 and 6.184 Å, with angles of 90.00, 90.00 and 90.00 degrees. The inequivalent atoms are Mg at (0.000, 0.000, 0.000), Ta at (0.250, 0.250, 0.250) and Ru at (0.000, 0.000, 0.500).

A geometry-optimized Mg2TaRu structure, computed with PBE.

Its crystal system is cubic. The calculated density is 8.1 g/cm³.

The space group is Fm-3m (No. 225) and the conventional cell measures 6.465, 6.465 and 6.465 Å, with angles of 90.00, 90.00 and 90.00 degrees. The inequivalent atoms are Mg at (0.250, 0.250, 0.250), Ta at (0.000, 0.000, 0.000) and Ru at (0.000, 0.000, 0.500).

A geometry-optimized MgTa5Ru6 structure, computed with PBE.

Its crystal system is orthorhombic. The calculated density is 13.4 g/cm³.

The space group is Immm (No. 71) and the conventional cell measures 4.421, 6.480 and 13.240 Å, with angles of 90.00, 90.00 and 90.00 degrees. The inequivalent atoms are Mg at (0.000, 0.000, 0.000), Ta at (0.000, 0.000, 0.337), Ta at (0.000, 0.500, 0.000), Ta at (0.000, 0.500, 0.334), Ru at (0.000, 0.248, 0.169) and Ru at (0.000, 0.253, 0.500).

A geometry-optimized MgTaRu structure, computed with PBE.

Its crystal system is orthorhombic. The calculated density is 9.8 g/cm³.

The space group is Fmm2 (No. 42) and the conventional cell measures 3.184, 4.791 and 13.626 Å, with angles of 90.00, 90.00 and 90.00 degrees. The inequivalent atoms are Mg at (0.000, 0.000, 0.000), Ta at (0.000, 0.000, 0.689) and Ru at (0.000, 0.000, 0.336).

A geometry-optimized MgTaRu4 structure, computed with PBE.

Its crystal system is cubic. The calculated density is 10.7 g/cm³.

The space group is F-43m (No. 216) and the conventional cell measures 7.235, 7.235 and 7.235 Å, with angles of 90.00, 90.00 and 90.00 degrees. The inequivalent atoms are Mg at (0.000, 0.000, 0.000), Ta at (0.250, 0.250, 0.250) and Ru at (0.125, 0.125, 0.625).

A geometry-optimized MgTa4Ru structure, computed with PBE.

Its crystal system is cubic. The calculated density is 12.7 g/cm³.

The space group is F-43m (No. 216) and the conventional cell measures 7.639, 7.639 and 7.639 Å, with angles of 90.00, 90.00 and 90.00 degrees. The inequivalent atoms are Mg at (0.000, 0.000, 0.000), Ta at (0.125, 0.125, 0.375) and Ru at (0.250, 0.250, 0.750).

A geometry-optimized Mg2TaRu structure, computed with PBE.

Its crystal system is tetragonal. The calculated density is 7.5 g/cm³.

The space group is P4mm (No. 99) and the conventional cell measures 3.234, 3.234 and 7.014 Å, with angles of 90.00, 90.00 and 90.00 degrees. The inequivalent atoms are Mg at (0.000, 0.000, 0.000), Mg at (0.500, 0.500, 0.289), Ta at (0.500, 0.500, 0.721) and Ru at (0.000, 0.000, 0.539).

A geometry-optimized MgTa2Ru structure, computed with PBE.

Its crystal system is trigonal. The calculated density is 11.4 g/cm³.

The space group is R-3m (No. 166, hexagonal axes) and the conventional cell measures 2.9436, 2.9436 and 28.3992 Å, with angles of 90.00, 90.00 and 120.00 degrees. The inequivalent atoms are Mg at (0.0000, 0.0000, 0.0000), Ta at (0.0000, 0.0000, 0.2420) and Ru at (0.0000, 0.0000, 0.5000).

A geometry-optimized MgTaRu structure, computed with PBE.

Its crystal system is tetragonal. The calculated density is 9.8 g/cm³.

The space group is I4mm (No. 107) and the conventional cell measures 3.224, 3.224 and 9.955 Å, with angles of 90.00, 90.00 and 90.00 degrees. The inequivalent atoms are Mg at (0.000, 0.000, 0.000), Ta at (0.000, 0.000, 0.303) and Ru at (0.000, 0.000, 0.674).

A geometry-optimized MgTa2Ru structure, computed with PBE.

Its crystal system is monoclinic. The calculated density is 11.8 g/cm³.

The space group is Pm (No. 6) and the conventional cell measures 2.888, 4.421 and 5.523 Å, with angles of 90.00, 103.37 and 90.00 degrees. The inequivalent atoms are Mg at (0.000, 0.000, 0.000), Ta at (0.325, 0.500, 0.744), Ta at (0.633, 0.000, 0.474) and Ru at (0.827, 0.500, 0.258).

A geometry-optimized Mg2TaRu structure, computed with PBE.

Its crystal system is monoclinic. The calculated density is 7.7 g/cm³.

The space group is Cm (No. 8) and the conventional cell measures 9.362, 3.077 and 5.127 Å, with angles of 90.00, 104.65 and 90.00 degrees. The inequivalent atoms are Mg at (0.000, 0.000, 0.000), Mg at (0.233, 0.000, 0.772), Ta at (0.273, 0.500, 0.309) and Ru at (0.494, 0.000, 0.473).

Number 1: raw total energy -5.807 eV per atom, formation enthalpy at 0 K 0.273 eV/atom, total moment 1.04 μB/f.u.. Number 2: raw total energy -6.876 eV per atom, formation enthalpy at 0 K 0.699 eV/atom, total moment 0.00 μB/f.u.. Number 3: raw total energy -5.580 eV per atom, formation enthalpy at 0 K 0.500 eV/atom, total moment 0.00 μB/f.u.. Number 4: raw total energy -10.095 eV per atom, formation enthalpy at 0 K -0.385 eV/atom, total moment 0.00 μB/f.u.. Number 5: raw total energy -7.496 eV per atom, formation enthalpy at 0 K 0.078 eV/atom, total moment 0.00 μB/f.u.. Number 6: raw total energy -8.402 eV per atom, formation enthalpy at 0 K 0.023 eV/atom, total moment 0.00 μB/f.u.. Number 7: raw total energy -9.329 eV per atom, formation enthalpy at 0 K 0.384 eV/atom, total moment 0.00 μB/f.u.. Number 8: raw total energy -6.177 eV per atom, formation enthalpy at 0 K -0.097 eV/atom, total moment 0.00 μB/f.u.. Number 9: raw total energy -8.487 eV per atom, formation enthalpy at 0 K 0.157 eV/atom, total moment 0.20 μB/f.u.. Number 10: raw total energy -7.656 eV per atom, formation enthalpy at 0 K -0.082 eV/atom, total moment 0.00 μB/f.u.. Number 11: raw total energy -8.584 eV per atom, formation enthalpy at 0 K 0.060 eV/atom, total moment 0.00 μB/f.u.. Number 12: raw total energy -5.986 eV per atom, formation enthalpy at 0 K 0.093 eV/atom, total moment 0.00 μB/f.u..